[1]
Computed, not measured: crystalline CdNi6Ir at its relaxed geometry at the GGA-PBEsol level of DFT.

Cell: 7.229 10.236 10.229 Å, 90.00 90.00 90.00°
Space group Cmmm (No. 65)
Symmetry-distinct sites (fractional):
Cd1 0.000 0.000 0.249 [4 per cell]
Cd2 0.000 0.245 0.500 [4 per cell]
Ni1 0.000 0.000 0.000 [2 per cell]
Ni2 0.000 0.000 0.500 [2 per cell]
Ni3 0.000 0.255 0.243 [8 per cell]
Ni4 0.000 0.500 0.000 [2 per cell]
Ni5 0.000 0.500 0.500 [2 per cell]
Ni6 0.242 0.377 0.371 [16 per cell]
Ni7 0.243 0.373 0.122 [16 per cell]
Ir1 0.000 0.243 0.000 [4 per cell]
Ir2 0.000 0.500 0.250 [4 per cell]

Calculated values
Energy of formation from the pure elements, eV/f.u.: 0.52
Size of the total moment, μB/cell: 20.815

[2]
Computed, not measured: crystalline ErCu3Se2ClO8 at its relaxed geometry at the GGA-PBEsol level of DFT.

Cell: 6.250 9.376 6.896 Å, 90.00 90.00 90.00°
Space group Pmmn (No. 59, origin choice 2)
Symmetry-distinct sites (fractional):
Er1 0.250 0.250 0.233 [2 per cell]
Cu1 0.000 0.000 0.500 [4 per cell]
Cu2 0.250 0.250 0.707 [2 per cell]
Se1 0.250 0.563 0.915 [4 per cell]
Cl1 0.250 0.750 0.349 [2 per cell]
O1 0.035 0.590 0.761 [8 per cell]
O2 0.250 0.112 0.503 [4 per cell]
O3 0.250 0.121 0.929 [4 per cell]

Calculated values
Size of the total moment, μB/cell: 6.014
Formation energy without anion corrections, eV/f.u.: -18.00

[3]
Computed, not measured: crystalline P5Pt at its relaxed geometry at the GGA-PBEsol level of DFT.

Cell: 3.506 10.392 4.796 Å, 90.00 90.00 90.00°
Space group Cmmm (No. 65)
Symmetry-distinct sites (fractional):
P1 0.000 0.000 0.000 [2 per cell]
P2 0.000 0.326 0.000 [4 per cell]
P3 0.000 0.338 0.500 [4 per cell]
Pt1 0.000 0.000 0.500 [2 per cell]

Calculated values
Energy of formation from the pure elements, eV/f.u.: -0.84
Size of the total moment, μB/cell: 0.000

[4]
Computed, not measured: crystalline Sc2ZnPt at its relaxed geometry at the GGA-PBEsol level of DFT.

Cell: 3.281 4.610 4.610 Å, 90.00 90.00 90.00°
Space group Pmm2 (No. 25)
Symmetry-distinct sites (fractional):
Sc1 0.000 0.000 0.000 [1 per cell]
Sc2 0.000 0.500 0.499 [1 per cell]
Zn1 0.500 0.500 0.998 [1 per cell]
Pt1 0.500 0.000 0.501 [1 per cell]

Calculated values
Energy of formation from the pure elements, eV/f.u.: -3.32
Size of the total moment, μB/cell: 0.000

> Number 4 is which compound?

Sc2ZnPt

> size of the total moment of number 1 (CdNi6Ir)?

20.815 μB/cell

> Which formula does entry 4 have?

Sc2ZnPt